No. 1
# TlHg2 (meta-GGA SCAN, single point on PBEsol structure)
# polymorph energy (0 for the lowest one): 18 meV/atom
# total magnetization: 0.00 μB per cell
# DOS(E_F): 1.1 states/eV/f.u.
data_TlHg2
_symmetry_space_group_name_H-M 'P 1'
_symmetry_Int_Tables_number 1
_symmetry_space_group_name_Hall 'P 1'
_cell_length_a 3.402
_cell_length_b 5.545
_cell_length_c 8.255
_cell_angle_alpha 90.00
_cell_angle_beta 101.89
_cell_angle_gamma 90.00
loop_
_atom_site_label
_atom_site_type_symbol
_atom_site_fract_x
_atom_site_fract_y
_atom_site_fract_z
Hg1 Hg 0.609 0.750 0.218
Hg2 Hg 0.951 0.750 0.903
Hg3 Hg 0.049 0.250 0.097
Hg4 Hg 0.391 0.250 0.782
Tl1 Tl 0.284 0.750 0.568
Tl2 Tl 0.716 0.250 0.432

***

No. 2
# Tl7Hg (meta-GGA SCAN, single point on PBEsol structure)
# final energy: -71.81 eV/atom
# total magnetization: 0.00 μB per cell
# DOS(E_F): 4.5 states/eV/f.u.
data_Tl7Hg
_symmetry_space_group_name_H-M 'P 1'
_symmetry_Int_Tables_number 1
_symmetry_space_group_name_Hall 'P 1'
_cell_length_a 6.762
_cell_length_b 6.762
_cell_length_c 6.762
_cell_angle_alpha 60.00
_cell_angle_beta 60.00
_cell_angle_gamma 60.00
loop_
_atom_site_label
_atom_site_type_symbol
_atom_site_fract_x
_atom_site_fract_y
_atom_site_fract_z
Hg1 Hg 0.000 0.000 0.000
Tl1 Tl 0.000 0.000 0.500
Tl2 Tl 0.000 0.500 0.000
Tl3 Tl 0.500 0.000 0.000
Tl4 Tl 0.500 0.500 0.000
Tl5 Tl 0.500 0.000 0.500
Tl6 Tl 0.000 0.500 0.500
Tl7 Tl 0.500 0.500 0.500

***

No. 3
# TlHg2 (meta-GGA SCAN, single point on PBEsol structure)
# polymorph energy (0 for the lowest one): 43 meV/atom
# total magnetization: 0.00 μB per cell
# DOS(E_F): 1.4 states/eV/f.u.
data_TlHg2
_symmetry_space_group_name_H-M 'P 1'
_symmetry_Int_Tables_number 1
_symmetry_space_group_name_Hall 'P 1'
_cell_length_a 6.015
_cell_length_b 6.015
_cell_length_c 6.015
_cell_angle_alpha 60.00
_cell_angle_beta 60.00
_cell_angle_gamma 60.00
loop_
_atom_site_label
_atom_site_type_symbol
_atom_site_fract_x
_atom_site_fract_y
_atom_site_fract_z
Hg1 Hg 0.125 0.125 0.125
Hg2 Hg 0.125 0.125 0.625
Hg3 Hg 0.125 0.625 0.125
Hg4 Hg 0.625 0.125 0.125
Tl1 Tl 0.500 0.500 0.500
Tl2 Tl 0.750 0.750 0.750